Material: Pm2Pr5Dy6
Method: DFT, PBE
State: relaxed

Output
calculated volume	34.17	A^3/atom
calculated density	7.4	Mg/m³
ΔH_f (0 K)	1.2	eV/f.u.

Lattice parameters (Å, degrees): 3.633 11.789 20.747 90.00 90.00 90.00
Fractional positions:
1 Pm 0.000 0.326 0.284
2 Pm 0.000 0.674 0.716
3 Pm 0.000 0.826 0.216
4 Pm 0.000 0.174 0.784
5 Pr 0.500 0.300 0.447
6 Pr 0.500 0.700 0.553
7 Pr 0.500 0.800 0.053
8 Pr 0.500 0.200 0.947
9 Pr 0.500 0.583 0.278
10 Pr 0.500 0.417 0.722
11 Pr 0.500 0.083 0.222
12 Pr 0.500 0.917 0.778
13 Pr 0.500 0.500 0.000
14 Pr 0.500 0.000 0.500
15 Dy 0.000 0.077 0.366
16 Dy 0.000 0.923 0.634
17 Dy 0.000 0.577 0.134
18 Dy 0.000 0.423 0.866
19 Dy 0.500 0.320 0.132
20 Dy 0.500 0.680 0.868
21 Dy 0.500 0.820 0.368
22 Dy 0.500 0.180 0.632
23 Dy 0.000 0.563 0.422
24 Dy 0.000 0.437 0.578
25 Dy 0.000 0.063 0.078
26 Dy 0.000 0.937 0.922